The following is a DFT calculation (GGA-PBE) of a relaxed Pm12Tl5Ag2 crystal.

Cell lengths 9.4909, 9.4909, 9.2763 Å; angles 95.68, 95.68, 45.98 degrees
Closest atoms and distances in Å follow each position.
Sites, in units of the cell vectors:
Pm: 0.0027 0.0027 0.1939  2 Ag 3.14
Pm: 0.0948 0.5822 0.5756  1 Ag 3.03, 1 Pm 3.26, 1 Tl 3.27
Pm: 0.0968 0.6023 0.9925  4 Tl 3.22-3.44, 2 Pm 3.50-3.60
Pm: 0.3977 0.9032 0.0075  4 Tl 3.22-3.44, 2 Pm 3.50-3.60
Pm: 0.4178 0.9052 0.4244  1 Ag 3.03, 1 Pm 3.26, 1 Tl 3.27
Pm: 0.4605 0.4605 0.3128  2 Ag 2.98, 2 Tl 3.05-3.28
Pm: 0.5395 0.5395 0.6872  2 Ag 2.98, 2 Tl 3.05-3.28
Pm: 0.5822 0.0948 0.5756  1 Ag 3.03, 1 Pm 3.26, 1 Tl 3.27
Pm: 0.6023 0.0968 0.9925  4 Tl 3.22-3.44, 2 Pm 3.50-3.60
Pm: 0.9032 0.3977 0.0075  4 Tl 3.22-3.44, 2 Pm 3.50-3.60
Pm: 0.9052 0.4178 0.4244  1 Ag 3.03, 1 Pm 3.26, 1 Tl 3.27
Pm: 0.9973 0.9973 0.8061  2 Ag 3.14
Tl: 0.1992 0.1992 0.7370  7 Pm 3.29-3.65
Tl: 0.2720 0.2720 0.2489  9 Pm 3.27-3.61
Tl: 0.5000 0.5000 0.0000  6 Pm 3.05-3.22
Tl: 0.7280 0.7280 0.7511  9 Pm 3.27-3.61
Tl: 0.8008 0.8008 0.2630  7 Pm 3.29-3.65
Ag: 0.1792 0.8208 0.5000  1 Ag 2.66
Ag: 0.8208 0.1792 0.5000  1 Ag 2.66

- Energy: -0.298 Ry/atom
- SG: C2/m (12)
- DFT formation energy: -0.13 eV per atom
- Magnetic moment: 0.00 μB/atom

***

The following is a DFT calculation (GGA-PBE) of a relaxed Pm2Tl2Ag crystal.

Cell lengths 6.2538, 6.2538, 6.2538 Å; angles 139.68, 113.47, 80.75 degrees
Closest atoms and distances in Å follow each position.
Sites, in units of the cell vectors:
Pm: 0.2212 0.2212 0.0000  6 Tl 3.27-3.38, 2 Ag 3.42
Pm: 0.7788 0.7788 0.0000  6 Tl 3.27-3.38, 2 Ag 3.42
Tl: 0.2225 0.5000 0.7225  2 Ag 2.88, 1 Tl 3.05
Tl: 0.7775 0.5000 0.2775  2 Ag 2.88, 1 Tl 3.05
Ag: 0.5000 0.0000 0.5000  4 Tl 2.88

- Energy: -0.268 Ry/atom
- SG: Immm (71)
- DFT formation energy: -0.22 eV per atom
- Magnetic moment: 0.00 μB/atom